1.
Compound: SmLuSb
Source: the Alexandria database
Functional: PBE-GGA
Structure: relaxed

Unit cell a=3.9565 b=3.9565 c=6.1064 alpha=108.90 beta=108.90 gamma=90.00
Sites, in units of the cell vectors:
Sm 0.9402 0.9402 0.8804
Sb 0.2749 0.2749 0.5498
Lu 0.6349 0.6349 0.2698

## Properties
Symmetry ... I4mm
Crystal system ... tetragonal
Calculated total energy ... -15.183 eV per formula unit



2.
Compound: SmLu2Sb
Source: the Alexandria database
Functional: PBE-GGA
Structure: relaxed

Unit cell a=3.9115 b=3.9115 c=7.3788 alpha=90.00 beta=90.00 gamma=90.00
Sites, in units of the cell vectors:
Lu 0.0000 0.0000 0.7798
Lu 0.0000 0.0000 0.2202
Sb 0.5000 0.5000 0.0000
Sm 0.5000 0.5000 0.5000

## Properties
Symmetry ... P4/mmm
Crystal system ... tetragonal
Calculated total energy ... -19.612 eV per formula unit